one.
ZrInB3 | GGA-PBE | optimized geometry

The space group is Pm-3m (No. 221) and the conventional cell measures 4.506, 4.506 and 4.506 Å, with angles of 90.00, 90.00 and 90.00 degrees. The distinct sites, in fractional coordinates, are Zr at (0.000, 0.000, 0.000), In at (0.500, 0.500, 0.500) and B at (0.000, 0.000, 0.500).


two.
ZrInB3 | GGA-PBE | optimized geometry

The space group is Pm-3m (No. 221) and the conventional cell measures 4.319, 4.319 and 4.319 Å, with angles of 90.00, 90.00 and 90.00 degrees. The distinct sites, in fractional coordinates, are Zr at (0.000, 0.000, 0.000), In at (0.500, 0.500, 0.500) and B at (0.000, 0.500, 0.500).


Verdict on stability: two comes out at the bottom.


one.
B2Ir3 | GGA-PBE | optimized geometry

The space group is R-3c (No. 167, hexagonal axes) and the conventional cell measures 5.0058, 5.0058 and 16.6023 Å, with angles of 90.00, 90.00 and 120.00 degrees. The distinct sites, in fractional coordinates, are B at (0.0000, 0.0000, 0.1643) and Ir at (0.0000, 0.3295, 0.2500).


two.
B2Ir3 | GGA-PBE | optimized geometry

The space group is Fdd2 (No. 43) and the conventional cell measures 10.196, 12.170 and 3.911 Å, with angles of 90.00, 90.00 and 90.00 degrees. The distinct sites, in fractional coordinates, are B at (0.085, 0.331, 0.000), Ir at (0.000, 0.000, 0.502) and Ir at (0.006, 0.167, 0.998).


Verdict on stability: one comes out at the bottom.


one.
KB3Ir | GGA-PBE | optimized geometry

The space group is Pm-3m (No. 221) and the conventional cell measures 4.074, 4.074 and 4.074 Å, with angles of 90.00, 90.00 and 90.00 degrees. The distinct sites, in fractional coordinates, are K at (0.000, 0.000, 0.000), B at (0.000, 0.000, 0.500) and Ir at (0.500, 0.500, 0.500).


two.
KB3Ir | GGA-PBE | optimized geometry

The space group is Pm-3m (No. 221) and the conventional cell measures 4.174, 4.174 and 4.174 Å, with angles of 90.00, 90.00 and 90.00 degrees. The distinct sites, in fractional coordinates, are K at (0.000, 0.000, 0.000), B at (0.000, 0.500, 0.500) and Ir at (0.500, 0.500, 0.500).


Verdict on stability: one comes out at the bottom.


one.
LaB2Ir3 | GGA-PBE | optimized geometry

The space group is P6/mmm (No. 191) and the conventional cell measures 9.1168, 9.1168 and 3.6232 Å, with angles of 90.00, 90.00 and 120.00 degrees. The distinct sites, in fractional coordinates, are La at (0.0000, 0.0000, 0.0000), La at (0.3333, 0.6667, 0.5000), B at (0.1848, 0.3696, 0.0000), Ir at (0.0000, 0.2828, 0.5000) and Ir at (0.0000, 0.5000, 0.0000).


two.
LaB2Ir3 | GGA-PBE | optimized geometry

The space group is P6/mmm (No. 191) and the conventional cell measures 5.5814, 5.5814 and 3.1394 Å, with angles of 90.00, 90.00 and 120.00 degrees. The distinct sites, in fractional coordinates, are La at (0.0000, 0.0000, 0.0000), B at (0.3333, 0.6667, 0.0000) and Ir at (0.0000, 0.5000, 0.5000).


Verdict on stability: one comes out at the bottom.